Compound: CaAlAu4
Source: Alexandria
Functional: PBE-GGA
Structure: relaxed

Cell lengths 5.5828, 5.5828, 5.5828 Å; angles 60.00, 60.00, 60.00 degrees
Closest atoms and distances in Å follow each position.
Fractional positions:
Au 0.3748 0.8756 0.3748  6 Au 2.79-2.80
Au 0.3748 0.3748 0.8756  6 Au 2.79-2.80
Ca 0.7500 0.7500 0.7500  12 Au 3.27, 4 Al 3.42
Au 0.3748 0.3748 0.3748  6 Au 2.79-2.80
Au 0.8756 0.3748 0.3748  6 Au 2.79-2.80
Al 0.0000 0.0000 0.0000  12 Au 3.27, 4 Ca 3.42

- DFT total energy (eV per atom) = -3.466
- ΔE_f (eV per atom) = -0.324
- DOS at the Fermi energy (states/eV/f.u.) = 5.234
- energy above the most stable polymorph in this dataset (meV/atom) = 179
- size of the total moment (μB per atom) = 0.000